# 1
This record from Alexandria via LeMat-Bulk describes a relaxed structure of CaSbAu2. The functional is GGA-PBE.

Results
V: 91 Å³/f.u.
Total moment: 0.000 μB/f.u.
E: -3.638 eV/atom
Calculated density: 10.12 Mg/m³
Uncorrected formation energy: -0.47 eV/atom

a b c (Å): 3.818 3.818 6.258
angles (deg): 90.00 90.00 90.00
Positions (direct):
Ca 0.500 0.500 0.250
Au 0.000 0.000 0.492
Au 0.000 0.000 0.008
Sb 0.500 0.500 0.750


# 2
This record from Alexandria via LeMat-Bulk describes a relaxed structure of ZrCu2Pb2. The functional is GGA-PBE.

Results
V: 104 Å³/f.u.
Energy above the lowest structure with this stoichiometry: 48 meV per atom
Total moment: 0.000 μB/f.u.
E: -4.675 eV/atom
Energy relative to the elements: 0.157 eV/atom
Calculated density: 10.07 Mg/m³

a b c (Å): 3.437 3.437 9.160
angles (deg): 79.19 79.19 90.00
Positions (direct):
Cu 0.750 0.250 0.500
Cu 0.250 0.750 0.500
Zr 0.000 0.000 0.000
Pb 0.381 0.381 0.238
Pb 0.619 0.619 0.762


# 3
This record from Alexandria via LeMat-Bulk describes a relaxed structure of HoGeIr. The functional is GGA-PBE.

Results
V: 56 Å³/f.u.
Total moment: 0.000 μB/f.u.
E: -6.958 eV/atom
Energy relative to the elements: -0.939 eV/atom
Calculated density: 12.68 Mg/m³

a b c (Å): 4.315 6.865 7.604
angles (deg): 90.00 90.00 90.00
Positions (direct):
Ge 0.250 0.291 0.610
Ho 0.250 0.004 0.307
Ir 0.750 0.838 0.066
Ge 0.750 0.709 0.390
Ho 0.250 0.504 0.193
Ir 0.250 0.662 0.566
Ir 0.250 0.162 0.934
Ge 0.750 0.209 0.110
Ho 0.750 0.496 0.807
Ho 0.750 0.996 0.693
Ir 0.750 0.338 0.434
Ge 0.250 0.791 0.890


# 4
This record from Alexandria via LeMat-Bulk describes a relaxed structure of BaYRe2. The functional is GGA-PBE.

Results
V: 109 Å³/f.u.
Energy above the lowest structure with this stoichiometry: 237 meV per atom
Total moment: 0.000 μB/f.u.
E: -7.814 eV/atom
Energy relative to the elements: 0.507 eV/atom
Calculated density: 9.15 Mg/m³

a b c (Å): 4.025 3.166 9.050
angles (deg): 70.34 90.00 90.00
Positions (direct):
Re 0.500 0.232 0.190
Re 0.000 0.968 0.095
Ba 0.500 0.849 0.808
Y 0.000 0.451 0.407


# 5
This record from Alexandria via LeMat-Bulk describes a relaxed structure of ZrInW2. The functional is GGA-PBE.

Results
V: 82 Å³/f.u.
Total moment: 0.000 μB/f.u.
E: -8.170 eV/atom
Energy relative to the elements: 1.128 eV/atom
Calculated density: 11.64 Mg/m³

a b c (Å): 7.644 7.644 6.088
angles (deg): 51.11 51.11 90.00
Positions (direct):
In 0.000 0.000 0.000
Zr 0.250 0.750 0.500
W 0.875 0.883 0.750
W 0.375 0.367 0.750
Zr 0.500 0.500 0.000
W 0.633 0.125 0.250
In 0.750 0.250 0.500
W 0.117 0.625 0.250


# 6
This record from Alexandria via LeMat-Bulk describes a relaxed structure of Co2W. The functional is GGA-PBE.

Results
V: 39 Å³/f.u.
Total moment: 0.067 μB/f.u.
E: -8.719 eV/atom
Energy relative to the elements: 0.336 eV/atom
Calculated density: 12.74 Mg/m³

a b c (Å): 2.595 3.860 15.704
angles (deg): 90.00 90.00 90.00
Last column: magnetic moment on the atom in μB.
Positions (direct):
W 0.000 0.250 0.613  -0.01
Co 0.000 0.750 0.809  -0.02
W 0.500 0.750 0.113  -0.01
Co 0.500 0.750 0.691  -0.02
Co 0.000 0.250 0.041  0.09
W 0.000 0.750 0.387  -0.01
Co 0.500 0.250 0.459  0.09
Co 0.500 0.750 0.541  0.09
Co 0.000 0.750 0.959  0.09
Co 0.500 0.250 0.309  -0.02
Co 0.000 0.250 0.191  -0.02
W 0.500 0.250 0.887  -0.01


# 7
This record from Alexandria via LeMat-Bulk describes a relaxed structure of BIrBr2. The functional is GGA-PBE.

Results
V: 72 Å³/f.u.
Energy above the lowest structure with this stoichiometry: 0 meV per atom
Total moment: 0.000 μB/f.u.
E: -3.386 eV/atom
Calculated density: 8.34 Mg/m³
Uncorrected formation energy: 1.33 eV/atom

a b c (Å): 8.107 8.107 8.107
angles (deg): 23.14 23.14 23.14
Positions (direct):
Br 0.103 0.103 0.103
Ir 0.000 0.000 0.000
Br 0.897 0.897 0.897
B 0.500 0.500 0.500


# 8
This record from Alexandria via LeMat-Bulk describes a relaxed structure of ThPa2Ru. The functional is GGA-PBE.

Results
V: 97 Å³/f.u.
Energy above the lowest structure with this stoichiometry: 0 meV per atom
Total moment: 0.000 μB/f.u.
E: -9.090 eV/atom
Energy relative to the elements: -0.168 eV/atom
Calculated density: 13.66 Mg/m³

a b c (Å): 3.576 3.576 7.557
angles (deg): 90.00 90.00 90.00
Positions (direct):
Ru 0.500 0.500 0.000
Pa 0.000 0.000 0.802
Th 0.500 0.500 0.500
Pa 0.000 0.000 0.198


# 9
This record from Alexandria via LeMat-Bulk describes a relaxed structure of Tm5Fe2. The functional is GGA-PBE.

Results
V: 163 Å³/f.u.
Total moment: 0.000 μB/f.u.
E: -5.646 eV/atom
Energy relative to the elements: -0.034 eV/atom
Calculated density: 9.72 Mg/m³

a b c (Å): 6.122 6.991 8.285
angles (deg): 96.70 111.68 90.00
Positions (direct):
Tm 0.208 0.684 0.569
Tm 0.201 0.412 0.187
Tm 0.639 0.816 0.431
Tm 0.014 0.088 0.813
Fe 0.823 0.576 0.221
Fe 0.602 0.924 0.779
Tm 0.361 0.184 0.569
Tm 0.578 0.250 0.000
Fe 0.398 0.076 0.221
Tm 0.986 0.912 0.187
Tm 0.799 0.588 0.813
Tm 0.422 0.750 0.000
Fe 0.177 0.424 0.779
Tm 0.792 0.316 0.431


# 10
This record from Alexandria via LeMat-Bulk describes a relaxed structure of RbMg2Zr2. The functional is GGA-PBE.

Results
V: 169 Å³/f.u.
Energy above the lowest structure with this stoichiometry: 51 meV per atom
Total moment: 0.000 μB/f.u.
E: -3.721 eV/atom
Energy relative to the elements: 0.530 eV/atom
Calculated density: 3.11 Mg/m³

a b c (Å): 4.095 4.095 10.475
angles (deg): 78.73 78.73 90.00
Positions (direct):
Mg 0.630 0.630 0.740
Mg 0.370 0.370 0.260
Zr 0.250 0.750 0.500
Zr 0.750 0.250 0.500
Rb 0.000 0.000 0.000


# 11
This record from Alexandria via LeMat-Bulk describes a relaxed structure of ZrTe2Ir. The functional is GGA-PBE.

Results
V: 91 Å³/f.u.
Energy above the lowest structure with this stoichiometry: 631 meV per atom
Total moment: 0.000 μB/f.u.
E: -5.926 eV/atom
Calculated density: 9.78 Mg/m³
Uncorrected formation energy: 0.00 eV/atom

a b c (Å): 4.328 4.328 6.469
angles (deg): 76.18 76.18 51.54
Positions (direct):
Te 0.994 0.994 0.028
Ir 0.250 0.250 0.250
Te 0.506 0.506 0.472
Zr 0.750 0.750 0.750


# 12
This record from Alexandria via LeMat-Bulk describes a relaxed structure of UTi2TlO8. The functional is GGA-PBE.

Results
V: 208 Å³/f.u.
Total moment: 0.000 μB/f.u.
E: -8.202 eV/atom
Calculated density: 5.32 Mg/m³
Uncorrected formation energy: -2.44 eV/atom

a b c (Å): 5.974 5.974 6.722
angles (deg): 90.00 90.00 120.00
Positions (direct):
O 0.159 0.841 0.811
Tl 0.000 0.000 0.500
U 0.000 0.000 0.000
O 0.667 0.333 0.533
O 0.841 0.159 0.189
Ti 0.667 0.333 0.284
O 0.681 0.841 0.811
O 0.333 0.667 0.467
O 0.841 0.681 0.189
O 0.159 0.319 0.811
Ti 0.333 0.667 0.716
O 0.319 0.159 0.189